# 1
Here is an optimized crystal structure of ZnGa6Rh from Alexandria via LeMat-Bulk. Energies are from PBE.

a b c (Å): 5.458 5.458 5.558
angles (deg): 101.30 101.30 104.34
Sites, in units of the cell vectors:
Zn 0.000 0.000 0.000
Ga 0.196 0.196 0.653
Ga 0.204 0.641 0.203
Ga 0.359 0.796 0.797
Ga 0.641 0.204 0.203
Ga 0.796 0.359 0.797
Ga 0.804 0.804 0.347
Rh 0.500 0.500 0.500

For the density, the calculation gives 6.4 g/cm3. Its calculated total energy is -27.5 eV/cell. The energy of formation from the pure elements comes out at -0.71 eV/f.u. Its symmetry is C2/m (12).


# 2
Here is an optimized crystal structure of CuHgRh2 from Alexandria via LeMat-Bulk. Energies are from PBE.

a b c (Å): 4.723 4.723 4.902
angles (deg): 99.95 99.95 35.30
Sites, in units of the cell vectors:
Cu 0.000 0.000 0.000
Hg 0.754 0.754 0.237
Rh 0.255 0.255 0.739
Rh 0.512 0.512 0.542

For the density, the calculation gives 12.6 g/cm3. Its calculated total energy is -18.4 eV/cell. The energy of formation from the pure elements comes out at 0.72 eV/f.u. Its symmetry is Cm (8).


# 3
Here is an optimized crystal structure of Pr2NdIn2Hg2 from Alexandria via LeMat-Bulk. Energies are from PBE.

a b c (Å): 9.987 9.987 9.987
angles (deg): 28.77 28.77 28.77
Sites, in units of the cell vectors:
Pr 0.128 0.128 0.128
Pr 0.872 0.872 0.872
Nd 0.000 0.000 0.000
In 0.259 0.259 0.259
In 0.741 0.741 0.741
Hg 0.392 0.392 0.392
Hg 0.608 0.608 0.608

For the density, the calculation gives 8.6 g/cm3. Its calculated total energy is -22.7 eV/cell. The energy of formation from the pure elements comes out at -2.30 eV/f.u. Its symmetry is R-3m (166).


# 4
Here is an optimized crystal structure of Ce2MgPb3 from Alexandria via LeMat-Bulk. Energies are from PBE.

a b c (Å): 8.068 8.068 4.568
angles (deg): 90.00 90.00 144.82
Sites, in units of the cell vectors:
Ce 0.154 0.846 0.000
Ce 0.846 0.154 0.000
Mg 0.500 0.500 0.000
Pb 0.000 0.000 0.500
Pb 0.333 0.667 0.500
Pb 0.667 0.333 0.500

For the density, the calculation gives 9.0 g/cm3. The calculation puts the polymorph energy (0 for the lowest one) at 0.00 eV per formula unit. Its calculated total energy is -26.7 eV/cell. The energy of formation from the pure elements comes out at -2.15 eV/f.u. Its symmetry is Cmmm (65).


# 5
Here is an optimized crystal structure of CsInHg2Au from Alexandria via LeMat-Bulk. Energies are from PBE.

a b c (Å): 5.778 5.778 5.505
angles (deg): 90.00 90.00 90.00
Sites, in units of the cell vectors:
Cs 0.000 0.000 0.000
In 0.500 0.500 0.500
Hg 0.000 0.500 0.500
Hg 0.500 0.000 0.500
Au 0.500 0.500 0.000

For the density, the calculation gives 7.6 g/cm3. The calculation puts the polymorph energy (0 for the lowest one) at 0.19 eV per formula unit. Its calculated total energy is -8.2 eV/cell. The energy of formation from the pure elements comes out at -0.77 eV/f.u. Its symmetry is P4/mmm (123).


# 6
Here is an optimized crystal structure of PaTc2As3 from Alexandria via LeMat-Bulk. Energies are from PBE.

a b c (Å): 3.903 9.162 6.255
angles (deg): 90.00 90.00 90.00
Sites, in units of the cell vectors:
Pa 0.000 0.131 0.000
Pa 0.000 0.869 0.500
Tc 0.000 0.226 0.513
Tc 0.000 0.774 0.013
Tc 0.500 0.492 0.516
Tc 0.500 0.508 0.016
As 0.000 0.420 0.782
As 0.000 0.580 0.282
As 0.500 0.083 0.657
As 0.500 0.278 0.269
As 0.500 0.722 0.769
As 0.500 0.917 0.157

For the density, the calculation gives 9.7 g/cm3. Its calculated total energy is -93.6 eV/cell. The energy of formation from the pure elements comes out at -2.60 eV/f.u. Its symmetry is Pmc2_1 (26).